Density functional theory data (PBE-GGA) for an optimized crystal structure of PrDySb2Rh5.

Unit cell a=4.4843 b=4.4843 c=8.9881 alpha=90.00 beta=90.00 gamma=90.00
Space group P4/mmm (No. 123)
Unique sites:
Pr1 0.0000 0.0000 0.0000 (multiplicity 1)
Dy1 0.0000 0.0000 0.5000 (multiplicity 1)
Sb1 0.5000 0.5000 0.3433 (multiplicity 2)
Rh1 0.0000 0.5000 0.2195 (multiplicity 4)
Rh2 0.5000 0.5000 0.0000 (multiplicity 1)

Results
- DOS at the Fermi energy: 5.14 states/eV/cell
- ΔE_f (raw): -0.5082 eV per atom